[1]
Crystalline YCd2OsO at its relaxed geometry, computed with PBE.

Summary:
The value obtained for the energy above the most stable polymorph in this dataset is 639.0 meV per atom. The calculation puts the uncorrected formation energy at 58 kJ/mol of atoms. The value obtained for the magnetic moment is 0.9 μB per formula unit. The crystal system is tetragonal. The density of states at the Fermi level comes out at 0.757 states/eV/atom. The electronic total energy comes out at -4.293 eV per atom.

Cell lengths 5.167, 5.167, 5.208 Å; angles 90.00, 90.00, 90.00 degrees
Sites, in units of the cell vectors:
Y1 0.000 0.000 0.000
Cd1 0.000 0.500 0.500
Cd2 0.500 0.000 0.500
Os1 0.000 0.000 0.500
O1 0.500 0.500 0.000

[2]
Crystalline TbPd2Pt at its relaxed geometry, computed with PBE.

Summary:
The value obtained for the energy above the most stable polymorph in this dataset is 0.0 meV per atom. The value obtained for the magnetic moment is 0.0 μB per formula unit. The crystal system is tetragonal. The density of states at the Fermi level comes out at 1.131 states/eV/atom. The electronic total energy comes out at -6.184 eV per atom.

Cell lengths 4.145, 4.145, 4.103 Å; angles 90.00, 90.00, 90.00 degrees
Sites, in units of the cell vectors:
Tb1 0.000 0.000 0.000
Pd1 0.000 0.500 0.500
Pd2 0.500 0.000 0.500
Pt1 0.500 0.500 0.000

[3]
Crystalline Pa4Sb3C2 at its relaxed geometry, computed with PBE.

Summary:
The calculation puts the uncorrected formation energy at -42 kJ/mol of atoms. The value obtained for the magnetic moment is 0.9 μB per formula unit. The crystal system is monoclinic. The density of states at the Fermi level comes out at 1.356 states/eV/atom. The electronic total energy comes out at -8.076 eV per atom.

Cell lengths 8.437, 8.437, 6.472 Å; angles 91.29, 91.29, 74.10 degrees
Sites, in units of the cell vectors:
Pa1 0.058 0.689 0.975
Pa2 0.258 0.399 0.422
Pa3 0.311 0.942 0.525
Pa4 0.399 0.258 0.922
Pa5 0.601 0.742 0.078
Pa6 0.689 0.058 0.475
Pa7 0.742 0.601 0.578
Pa8 0.942 0.311 0.025
Sb1 0.020 0.761 0.470
Sb2 0.239 0.980 0.030
Sb3 0.403 0.597 0.750
Sb4 0.597 0.403 0.250
Sb5 0.761 0.020 0.970
Sb6 0.980 0.239 0.530
C1 0.162 0.419 0.083
C2 0.419 0.162 0.583
C3 0.581 0.838 0.417
C4 0.838 0.581 0.917

[4]
Crystalline Cu2SO6 at its relaxed geometry, computed with PBE.

Summary:
The value obtained for the energy above the most stable polymorph in this dataset is 217.8 meV per atom. The calculation puts the uncorrected formation energy at -48 kJ/mol of atoms. The value obtained for the magnetic moment is 0.0 μB per formula unit. The crystal system is monoclinic. The density of states at the Fermi level comes out at 0.800 states/eV/atom. The electronic total energy comes out at -5.174 eV per atom.

Cell lengths 4.800, 4.622, 9.281 Å; angles 90.00, 120.22, 90.00 degrees
Sites, in units of the cell vectors:
Cu1 0.193 0.007 0.192
Cu2 0.193 0.493 0.692
Cu3 0.807 0.507 0.308
Cu4 0.807 0.993 0.808
S1 0.500 0.000 0.000
S2 0.500 0.500 0.500
O1 0.190 0.199 0.849
O2 0.190 0.301 0.349
O3 0.233 0.706 0.505
O4 0.233 0.794 0.005
O5 0.490 0.210 0.146
O6 0.490 0.290 0.646
O7 0.510 0.710 0.354
O8 0.510 0.790 0.854
O9 0.767 0.206 0.995
O10 0.767 0.294 0.495
O11 0.810 0.699 0.651
O12 0.810 0.801 0.151

[5]
Crystalline SrMgH3 at its relaxed geometry, computed with PBE.

Summary:
The value obtained for the energy above the most stable polymorph in this dataset is 349.4 meV per atom. The value obtained for the magnetic moment is 0.0 μB per formula unit. The crystal system is cubic. The density of states at the Fermi level comes out at 0.229 states/eV/atom. The electronic total energy comes out at -2.505 eV per atom.

Cell lengths 4.526, 4.526, 4.526 Å; angles 90.00, 90.00, 90.00 degrees
Sites, in units of the cell vectors:
Sr1 0.000 0.000 0.000
Mg1 0.500 0.500 0.500
H1 0.000 0.000 0.500
H2 0.000 0.500 0.000
H3 0.500 0.000 0.000

[6]
Crystalline CaLaPm2As4 at its relaxed geometry, computed with PBE.

Summary:
The value obtained for the magnetic moment is 0.0 μB per formula unit. The crystal system is monoclinic. The density of states at the Fermi level comes out at 0.612 states/eV/atom. The electronic total energy comes out at -5.747 eV per atom.

Cell lengths 7.381, 4.282, 7.457 Å; angles 90.00, 109.38, 90.00 degrees
Sites, in units of the cell vectors:
Ca1 0.000 0.000 0.000
La1 0.500 0.500 0.000
Pm1 0.000 0.500 0.500
Pm2 0.500 0.000 0.500
As1 0.247 0.000 0.743
As2 0.252 0.500 0.256
As3 0.748 0.500 0.744
As4 0.753 0.000 0.257

[7]
Crystalline ZrAlSi2 at its relaxed geometry, computed with PBE.

Summary:
The calculation puts the uncorrected formation energy at -30 kJ/mol of atoms. The value obtained for the magnetic moment is 0.0 μB per formula unit. The crystal system is tetragonal. The density of states at the Fermi level comes out at 0.293 states/eV/atom. The electronic total energy comes out at -6.096 eV per atom.

Cell lengths 3.469, 3.469, 5.556 Å; angles 90.00, 90.00, 90.00 degrees
Sites, in units of the cell vectors:
Zr1 0.000 0.000 0.000
Al1 0.000 0.000 0.500
Si1 0.500 0.500 0.270
Si2 0.500 0.500 0.730

[8]
Crystalline Sb2OsPb at its relaxed geometry, computed with PBE.

Summary:
The calculation puts the uncorrected formation energy at 42 kJ/mol of atoms. The value obtained for the magnetic moment is 0.0 μB per formula unit. The crystal system is orthorhombic. The density of states at the Fermi level comes out at 0.645 states/eV/atom. The electronic total energy comes out at -5.366 eV per atom.

Cell lengths 6.690, 6.690, 6.690 Å; angles 151.82, 134.80, 54.12 degrees
Sites, in units of the cell vectors:
Sb1 0.184 0.184 0.000
Sb2 0.816 0.816 0.000
Os1 0.000 0.500 0.500
Pb1 0.500 0.000 0.500

[9]
Crystalline KBPb at its relaxed geometry, computed with PBE.

Summary:
The value obtained for the energy above the most stable polymorph in this dataset is 232.9 meV per atom. The value obtained for the magnetic moment is 0.0 μB per formula unit. The crystal system is monoclinic. The density of states at the Fermi level comes out at 0.000 states/eV/atom. The electronic total energy comes out at -3.457 eV per atom.

Cell lengths 7.289, 7.289, 4.100 Å; angles 103.81, 103.81, 111.91 degrees
Sites, in units of the cell vectors:
K1 0.000 0.000 0.000
K2 0.615 0.385 0.000
B1 0.323 0.512 0.309
B2 0.488 0.677 0.691
Pb1 0.105 0.499 0.734
Pb2 0.501 0.895 0.266

[10]
Crystalline DyErTlRh at its relaxed geometry, computed with PBE.

Summary:
The value obtained for the energy above the most stable polymorph in this dataset is 0.0 meV per atom. The value obtained for the magnetic moment is 0.0 μB per formula unit. The crystal system is tetragonal. The density of states at the Fermi level comes out at 0.408 states/eV/atom. The electronic total energy comes out at -5.351 eV per atom.

Cell lengths 3.519, 3.519, 7.583 Å; angles 90.00, 90.00, 90.00 degrees
Sites, in units of the cell vectors:
Dy1 0.000 0.000 0.000
Er1 0.000 0.000 0.570
Tl1 0.500 0.500 0.287
Rh1 0.500 0.500 0.780

[11]
Crystalline CoCuSn2Hg at its relaxed geometry, computed with PBE.

Summary:
The value obtained for the magnetic moment is 0.0 μB per formula unit. The crystal system is tetragonal. The density of states at the Fermi level comes out at 0.399 states/eV/atom. The electronic total energy comes out at -3.539 eV per atom.

Cell lengths 4.810, 4.810, 5.073 Å; angles 90.00, 90.00, 90.00 degrees
Sites, in units of the cell vectors:
Co1 0.000 0.000 0.000
Cu1 0.500 0.500 0.500
Sn1 0.000 0.500 0.000
Sn2 0.500 0.000 0.000
Hg1 0.000 0.000 0.500